## w
Material: ScCrRh
Method: DFT, PBE
State: relaxed

Computed properties:
Density of states at the Fermi level   3.853 states/eV per cell
ρ   5.67 g/cm³

Geometry as CIF:
```
data_ScCrRh
_chemical_formula_sum 'Sc1 Cr1 Rh1'
_space_group_name_H-M_alt 'P 1'
_space_group_IT_number 1
_cell_length_a 4.359
_cell_length_b 4.359
_cell_length_c 4.359
_cell_angle_alpha 60.00
_cell_angle_beta 60.00
_cell_angle_gamma 60.00
loop_
_space_group_symop_operation_xyz
'x,y,z'
loop_
_atom_site_label
_atom_site_type_symbol
_atom_site_fract_x
_atom_site_fract_y
_atom_site_fract_z
_atom_site_occupancy
Cr1 Cr 0.500 0.500 0.500 1
Sc1 Sc 0.000 0.000 0.000 1
Rh1 Rh 0.750 0.750 0.750 1
```



## x
Material: ScCrRh
Method: DFT, PBE
State: relaxed

Computed properties:
Density of states at the Fermi level   3.773 states/eV per cell
ρ   6.95 g/cm³

Geometry as CIF:
```
data_ScCrRh
_chemical_formula_sum 'Sc1 Cr1 Rh1'
_space_group_name_H-M_alt 'P 1'
_space_group_IT_number 1
_cell_length_a 2.925
_cell_length_b 2.925
_cell_length_c 6.443
_cell_angle_alpha 90.00
_cell_angle_beta 90.00
_cell_angle_gamma 120.00
loop_
_space_group_symop_operation_xyz
'x,y,z'
loop_
_atom_site_label
_atom_site_type_symbol
_atom_site_fract_x
_atom_site_fract_y
_atom_site_fract_z
_atom_site_occupancy
Rh1 Rh 0.667 0.333 0.317 1
Cr1 Cr 0.000 0.000 0.015 1
Sc1 Sc 0.333 0.667 0.667 1
```



## y
Material: ScCrRh
Method: DFT, PBE
State: relaxed

Computed properties:
Density of states at the Fermi level   2.902 states/eV per cell
ρ   7.04 g/cm³

Geometry as CIF:
```
data_ScCrRh
_chemical_formula_sum 'Sc1 Cr1 Rh1'
_space_group_name_H-M_alt 'P 1'
_space_group_IT_number 1
_cell_length_a 5.718
_cell_length_b 5.717
_cell_length_c 2.978
_cell_angle_alpha 74.91
_cell_angle_beta 74.91
_cell_angle_gamma 30.19
loop_
_space_group_symop_operation_xyz
'x,y,z'
loop_
_atom_site_label
_atom_site_type_symbol
_atom_site_fract_x
_atom_site_fract_y
_atom_site_fract_z
_atom_site_occupancy
Cr1 Cr 0.984 0.984 0.016 1
Rh1 Rh 0.351 0.351 0.649 1
Sc1 Sc 0.665 0.665 0.335 1
```



Least stable structure: x



## w
Material: ScCrRh
Method: DFT, PBE
State: relaxed

Computed properties:
Density of states at the Fermi level   2.799 states/eV per cell
ρ   6.61 g/cm³

Geometry as CIF:
```
data_ScCrRh
_chemical_formula_sum 'Sc1 Cr1 Rh1'
_space_group_name_H-M_alt 'P 1'
_space_group_IT_number 1
_cell_length_a 4.348
_cell_length_b 4.348
_cell_length_c 3.066
_cell_angle_alpha 90.00
_cell_angle_beta 90.00
_cell_angle_gamma 120.00
loop_
_space_group_symop_operation_xyz
'x,y,z'
loop_
_atom_site_label
_atom_site_type_symbol
_atom_site_fract_x
_atom_site_fract_y
_atom_site_fract_z
_atom_site_occupancy
Cr1 Cr 0.000 0.000 0.166 1
Sc1 Sc 0.667 0.333 0.667 1
Rh1 Rh 0.333 0.667 0.167 1
```



## x
Material: ScCrRh
Method: DFT, PBE
State: relaxed

Computed properties:
Density of states at the Fermi level   1.360 states/eV per cell
ρ   5.71 g/cm³

Geometry as CIF:
```
data_ScCrRh
_chemical_formula_sum 'Sc1 Cr1 Rh1'
_space_group_name_H-M_alt 'P 1'
_space_group_IT_number 1
_cell_length_a 4.347
_cell_length_b 4.347
_cell_length_c 4.347
_cell_angle_alpha 60.00
_cell_angle_beta 60.00
_cell_angle_gamma 60.00
loop_
_space_group_symop_operation_xyz
'x,y,z'
loop_
_atom_site_label
_atom_site_type_symbol
_atom_site_fract_x
_atom_site_fract_y
_atom_site_fract_z
_atom_site_occupancy
Rh1 Rh 0.500 0.500 0.500 1
Cr1 Cr 0.000 0.000 0.000 1
Sc1 Sc 0.750 0.750 0.750 1
```



Least stable structure: x



## w
Material: CrRh2Se4
Method: DFT, PBE
State: relaxed

Computed properties:
Density of states at the Fermi level   3.481 states/eV per cell
ρ   7.06 g/cm³

Geometry as CIF:
```
data_CrRh2Se4
_chemical_formula_sum 'Cr1 Rh2 Se4'
_space_group_name_H-M_alt 'P 1'
_space_group_IT_number 1
_cell_length_a 6.617
_cell_length_b 6.617
_cell_length_c 6.588
_cell_angle_alpha 61.46
_cell_angle_beta 61.46
_cell_angle_gamma 32.64
loop_
_space_group_symop_operation_xyz
'x,y,z'
loop_
_atom_site_label
_atom_site_type_symbol
_atom_site_fract_x
_atom_site_fract_y
_atom_site_fract_z
_atom_site_occupancy
Se1 Se 0.128 0.128 0.543 1
Se2 Se 0.872 0.872 0.457 1
Se3 Se 0.631 0.631 0.032 1
Se4 Se 0.369 0.369 0.968 1
Rh1 Rh 0.259 0.259 0.725 1
Rh2 Rh 0.741 0.741 0.275 1
Cr1 Cr 0.000 0.000 0.000 1
```



## x
Material: CrRh2Se4
Method: DFT, PBE
State: relaxed

Computed properties:
Density of states at the Fermi level   16.414 states/eV per cell
ρ   6.76 g/cm³

Geometry as CIF:
```
data_CrRh2Se4
_chemical_formula_sum 'Cr4 Rh8 Se16'
_space_group_name_H-M_alt 'P 1'
_space_group_IT_number 1
_cell_length_a 7.294
_cell_length_b 7.294
_cell_length_c 10.599
_cell_angle_alpha 90.00
_cell_angle_beta 90.00
_cell_angle_gamma 90.00
loop_
_space_group_symop_operation_xyz
'x,y,z'
loop_
_atom_site_label
_atom_site_type_symbol
_atom_site_fract_x
_atom_site_fract_y
_atom_site_fract_z
_atom_site_occupancy
Se1 Se 0.009 0.248 0.763 1
Se2 Se 0.252 0.484 0.988 1
Se3 Se 0.484 0.748 0.738 1
Se4 Se 0.748 0.484 0.012 1
Se5 Se 0.516 0.252 0.238 1
Se6 Se 0.484 0.252 0.762 1
Se7 Se 0.516 0.748 0.262 1
Se8 Se 0.752 0.009 0.013 1
Se9 Se 0.991 0.248 0.237 1
Se10 Se 0.748 0.516 0.488 1
Se11 Se 0.248 0.991 0.513 1
Se12 Se 0.252 0.516 0.512 1
Se13 Se 0.248 0.009 0.987 1
Se14 Se 0.009 0.752 0.737 1
Se15 Se 0.752 0.991 0.487 1
Se16 Se 0.991 0.752 0.263 1
Rh1 Rh 0.746 0.746 0.875 1
Rh2 Rh 0.254 0.746 0.125 1
Rh3 Rh 0.254 0.254 0.375 1
Rh4 Rh 0.746 0.254 0.625 1
Rh5 Rh 0.755 0.500 0.250 1
Rh6 Rh 0.500 0.755 0.500 1
Rh7 Rh 0.500 0.245 0.000 1
Rh8 Rh 0.245 0.500 0.750 1
Cr1 Cr 0.000 0.248 0.000 1
Cr2 Cr 0.248 0.000 0.750 1
Cr3 Cr 0.000 0.752 0.500 1
Cr4 Cr 0.752 0.000 0.250 1
```



Least stable structure: x



## w
Material: CrRhSe4
Method: DFT, PBE
State: relaxed

Computed properties:
Density of states at the Fermi level   3.710 states/eV per cell
ρ   6.24 g/cm³

Geometry as CIF:
```
data_CrRhSe4
_chemical_formula_sum 'Cr1 Rh1 Se4'
_space_group_name_H-M_alt 'P 1'
_space_group_IT_number 1
_cell_length_a 3.826
_cell_length_b 5.723
_cell_length_c 5.723
_cell_angle_alpha 89.85
_cell_angle_beta 90.00
_cell_angle_gamma 90.00
loop_
_space_group_symop_operation_xyz
'x,y,z'
loop_
_atom_site_label
_atom_site_type_symbol
_atom_site_fract_x
_atom_site_fract_y
_atom_site_fract_z
_atom_site_occupancy
Se1 Se 0.000 0.803 0.803 1
Se2 Se 0.500 0.691 0.309 1
Se3 Se 0.500 0.309 0.691 1
Se4 Se 0.000 0.197 0.197 1
Cr1 Cr 0.000 0.500 0.500 1
Rh1 Rh 0.500 0.000 0.000 1
```



## x
Material: CrRhSe4
Method: DFT, PBE
State: relaxed

Computed properties:
Density of states at the Fermi level   4.570 states/eV per cell
ρ   6.37 g/cm³

Geometry as CIF:
```
data_CrRhSe4
_chemical_formula_sum 'Cr1 Rh1 Se4'
_space_group_name_H-M_alt 'P 1'
_space_group_IT_number 1
_cell_length_a 3.627
_cell_length_b 6.566
_cell_length_c 6.075
_cell_angle_alpha 116.80
_cell_angle_beta 90.00
_cell_angle_gamma 106.03
loop_
_space_group_symop_operation_xyz
'x,y,z'
loop_
_atom_site_label
_atom_site_type_symbol
_atom_site_fract_x
_atom_site_fract_y
_atom_site_fract_z
_atom_site_occupancy
Rh1 Rh 0.500 0.000 0.500 1
Se1 Se 0.627 0.255 0.966 1
Se2 Se 0.127 0.255 0.461 1
Se3 Se 0.873 0.745 0.539 1
Se4 Se 0.373 0.745 0.034 1
Cr1 Cr 0.000 0.000 0.000 1
```



Least stable structure: w